# GGA+U Nd4MnSe6O, relaxed
# uncorrected energy = -0.2306 hartree per atom
# density of states at the Fermi level = 0.0 states/eV/f.u.
# ρ = 6.47 Mg/m³
data_Nd4MnSe6O
_space_group_name_H-M_alt 'P 1'
_space_group_IT_number 1
_space_group_name_Hall 'P 1'
_cell_length_a 9.7112
_cell_length_b 9.7112
_cell_length_c 7.0481
_cell_angle_alpha 90.00
_cell_angle_beta 90.00
_cell_angle_gamma 120.00
loop_
_atom_site_label
_atom_site_fract_x
_atom_site_fract_y
_atom_site_fract_z
Se1 0.8720 0.7440 0.7349
Mn1 0.0000 0.0000 0.0022
O1 0.3333 0.6667 0.9583
Nd1 0.2012 0.7988 0.8389
Nd2 0.7988 0.2012 0.3389
Se2 0.9377 0.4689 0.0555
Mn2 0.0000 0.0000 0.5022
Nd3 0.7988 0.5977 0.3389
Se3 0.0623 0.5311 0.5555
Nd4 0.6667 0.3333 0.7935
Nd5 0.3333 0.6667 0.2935
Se4 0.2560 0.1280 0.7349
Se5 0.8720 0.1280 0.7349
Se6 0.1280 0.8720 0.2349
Se7 0.4689 0.9377 0.5555
Se8 0.1280 0.2560 0.2349
Nd6 0.5977 0.7988 0.8389
Se9 0.5311 0.4689 0.0555
Nd7 0.2012 0.4023 0.8389
Se10 0.7440 0.8720 0.2349
Se11 0.5311 0.0623 0.0555
Se12 0.4689 0.5311 0.5555
O2 0.6667 0.3333 0.4583
Nd8 0.4023 0.2012 0.3389